Record 1
A plane-wave DFT calculation with meta-GGA SCAN was carried out for KYCo2 at its PBEsol-relaxed geometry.

a b c (Å): 4.8165 4.8165 4.8165
angles (deg): 60.00 60.00 60.00
Last column: nearest neighbours and their distance in Å.
Element x y z (fractional)
K 0.0000 0.0000 0.0000  8 Co 2.95
Y 0.5000 0.5000 0.5000  8 Co 2.95
Co 0.2500 0.2500 0.2500  4 Y 2.95, 4 K 2.95
Co 0.7500 0.7500 0.7500  4 K 2.95, 4 Y 2.95

Energy of formation in kJ/mol of formula units: 324
Symmetry: No. 225
Crystal system: cubic
Total magnetization in μB per formula unit: 2.44

---

Record 2
A plane-wave DFT calculation with meta-GGA SCAN was carried out for KYCo2 at its PBEsol-relaxed geometry.

a b c (Å): 3.6582 3.6582 7.3956
angles (deg): 90.00 90.00 90.00
Last column: nearest neighbours and their distance in Å.
Element x y z (fractional)
K 0.0000 0.0000 0.0000  4 K 3.66, 8 Co 3.68, 2 Y 3.70
Y 0.0000 0.0000 0.5000  8 Co 2.80
Co 0.5000 0.5000 0.3543  1 Co 2.15
Co 0.5000 0.5000 0.6457  1 Co 2.15

Energy of formation in kJ/mol of formula units: 197
Symmetry: No. 123
Crystal system: tetragonal
Total magnetization in μB per formula unit: 3.29

---

Copy entry 1 word for word.
A plane-wave DFT calculation with meta-GGA SCAN was carried out for KYCo2 at its PBEsol-relaxed geometry.

a b c (Å): 4.8165 4.8165 4.8165
angles (deg): 60.00 60.00 60.00
Last column: nearest neighbours and their distance in Å.
Element x y z (fractional)
K 0.0000 0.0000 0.0000  8 Co 2.95
Y 0.5000 0.5000 0.5000  8 Co 2.95
Co 0.2500 0.2500 0.2500  4 Y 2.95, 4 K 2.95
Co 0.7500 0.7500 0.7500  4 K 2.95, 4 Y 2.95

Energy of formation in kJ/mol of formula units: 324
Symmetry: No. 225
Crystal system: cubic
Total magnetization in μB per formula unit: 2.44

---

Q: Look up the total magnetization of the first one.
A: 2.44 μB per formula unit

---

Q: energy of formation of number 1 (KYCo2)?
A: 324 kJ/mol of formula units

---

Copy entry 1 word for word.
A plane-wave DFT calculation with meta-GGA SCAN was carried out for KYCo2 at its PBEsol-relaxed geometry.

a b c (Å): 4.8165 4.8165 4.8165
angles (deg): 60.00 60.00 60.00
Last column: nearest neighbours and their distance in Å.
Element x y z (fractional)
K 0.0000 0.0000 0.0000  8 Co 2.95
Y 0.5000 0.5000 0.5000  8 Co 2.95
Co 0.2500 0.2500 0.2500  4 Y 2.95, 4 K 2.95
Co 0.7500 0.7500 0.7500  4 K 2.95, 4 Y 2.95

Energy of formation in kJ/mol of formula units: 324
Symmetry: No. 225
Crystal system: cubic
Total magnetization in μB per formula unit: 2.44